First-principles (GGA-PBE) data for a geometry-optimized YHI2N structure, as listed in Alexandria.

```
YHI2N
1.0
6.0766 0.0000 0.0000
0.0000 6.0766 0.0000
0.0000 0.0000 4.6793
Y H I N
1 1 2 1
Direct
0.0000 0.0000 0.0000
0.5000 0.5000 0.5000
0.0000 0.5000 0.0000
0.5000 0.0000 0.0000
0.0000 0.0000 0.5000
```

Output
Crystal system: tetragonal
Symmetry: P4/mmm
Final energy (eV per cell): -20.19
Excess energy over the best structure of this formula in the dataset (meV/atom): 0

---

First-principles (GGA-PBE) data for a geometry-optimized YHI2N structure, as listed in Alexandria.

```
YHI2N
1.0
5.5134 0.0000 0.0000
0.0000 5.5134 0.0000
0.0000 0.0000 3.4891
Y H I N
1 1 2 1
Direct
0.0000 0.0000 0.0000
0.5000 0.5000 0.5000
0.0000 0.5000 0.5000
0.5000 0.0000 0.5000
0.5000 0.5000 0.0000
```

Output
Crystal system: tetragonal
Symmetry: P4/mmm
Final energy (eV per cell): -18.38
Excess energy over the best structure of this formula in the dataset (meV/atom): 361

---

First-principles (GGA-PBE) data for a geometry-optimized ZnHI2N structure, as listed in Alexandria.

```
ZnHI2N
1.0
6.5844 0.0000 0.0000
0.0000 6.5844 0.0000
0.0000 0.0000 2.8927
Zn H I N
1 1 2 1
Direct
0.0000 0.0000 0.0000
0.5000 0.5000 0.5000
0.0000 0.5000 0.5000
0.5000 0.0000 0.5000
0.5000 0.5000 0.0000
```

Output
Crystal system: tetragonal
Symmetry: P4/mmm
Final energy (eV per cell): -11.30
Excess energy over the best structure of this formula in the dataset (meV/atom): 0

---

First-principles (GGA-PBE) data for a geometry-optimized ZnHI2N structure, as listed in Alexandria.

```
ZnHI2N
1.0
6.3446 0.0000 0.0000
0.0000 6.3446 0.0000
0.0000 0.0000 3.5858
Zn H I N
1 1 2 1
Direct
0.0000 0.0000 0.0000
0.5000 0.5000 0.5000
0.0000 0.5000 0.0000
0.5000 0.0000 0.0000
0.0000 0.0000 0.5000
```

Output
Crystal system: tetragonal
Symmetry: P4/mmm
Final energy (eV per cell): -10.87
Excess energy over the best structure of this formula in the dataset (meV/atom): 86

---

First-principles (GGA-PBE) data for a geometry-optimized ZrHIN2 structure, as listed in Alexandria.

```
ZrHIN2
1.0
4.2473 0.0000 0.0000
0.0000 4.2473 0.0000
0.0000 0.0000 3.3143
Zr H I N
1 1 1 2
Direct
0.0000 0.0000 0.0000
0.5000 0.5000 0.5000
0.5000 0.5000 0.0000
0.0000 0.5000 0.5000
0.5000 0.0000 0.5000
```

Output
Crystal system: tetragonal
Symmetry: P4/mmm
Final energy (eV per cell): -23.35
Excess energy over the best structure of this formula in the dataset (meV/atom): 535

---

First-principles (GGA-PBE) data for a geometry-optimized ZrHIN2 structure, as listed in Alexandria.

```
ZrHIN2
1.0
4.1058 0.0000 0.0000
0.0000 4.1058 0.0000
0.0000 0.0000 6.2986
Zr H I N
1 1 1 2
Direct
0.0000 0.0000 0.0000
0.5000 0.5000 0.5000
0.0000 0.0000 0.5000
0.0000 0.5000 0.0000
0.5000 0.0000 0.0000
```

Output
Crystal system: tetragonal
Symmetry: P4/mmm
Final energy (eV per cell): -26.02
Excess energy over the best structure of this formula in the dataset (meV/atom): 0

---

First-principles (GGA-PBE) data for a geometry-optimized NaH2I4 structure, as listed in Alexandria.

```
NaH2I4
1.0
6.5306 0.0000 0.0000
-2.0219 7.9439 0.0000
-0.8114 -2.8763 9.7281
Na H I
2 4 8
Direct
0.0000 0.0000 0.0000
0.1052 0.0643 0.4798
0.3748 0.6129 0.3908
0.4482 0.0092 0.8726
0.8817 0.5400 0.2379
0.9624 0.5262 0.7369
0.3482 0.2699 0.2806
0.4257 0.8131 0.4984
0.4354 0.8491 0.9557
0.4747 0.2313 0.7744
0.8438 0.7277 0.2105
0.8464 0.2657 0.2813
0.8550 0.6721 0.6940
0.9723 0.2241 0.7776
```

Output
Crystal system: triclinic
Symmetry: P1
Final energy (eV per cell): -32.68

---

First-principles (GGA-PBE) data for a geometry-optimized NaHI3 structure, as listed in Alexandria.

```
NaHI3
1.0
5.3426 0.0000 0.0000
0.0000 5.3426 0.0000
0.0000 0.0000 5.3426
Na H I
1 1 3
Direct
0.0000 0.0000 0.0000
0.5000 0.5000 0.5000
0.0000 0.5000 0.5000
0.5000 0.0000 0.5000
0.5000 0.5000 0.0000
```

Output
Crystal system: cubic
Symmetry: Pm-3m
Final energy (eV per cell): -8.69
Excess energy over the best structure of this formula in the dataset (meV/atom): 568